Computed, not measured: Sr2AlZnS5 after structural relaxation at the PBE level of DFT.

Output
calculated density: 3.4 g cm⁻³
uncorrected formation energy: -1.298 eV/atom
total energy: -81.401 eV/cell
DOS at the Fermi energy: 0.23 states/eV/atom
space-group type: Cmc2_1 (36)

a b c (Å): 3.9082 9.4057 11.7350
angles (deg): 90.00 90.00 101.99
Last column: magnetic moment on the atom in μB.
Fractional positions:
S  0.3604  0.7209  0.9812  0.01
S  0.2825  0.5650  0.6604  0.23
S  0.7175  0.4350  0.1604  0.23
S  0.0414  0.0827  0.0518  0.00
S  0.9586  0.9173  0.5518  0.00
S  0.3114  0.6229  0.4141  0.19
S  0.6886  0.3771  0.9141  0.19
S  0.6396  0.2791  0.4812  0.01
S  0.5163  0.0326  0.7825  0.02
S  0.4837  0.9674  0.2825  0.02
Sr  0.1114  0.2229  0.2933  0.00
Sr  0.8876  0.7752  0.1619  0.00
Sr  0.1124  0.2248  0.6619  0.00
Sr  0.8886  0.7771  0.7933  0.00
Zn  0.2384  0.4767  0.0240  0.01
Zn  0.7616  0.5233  0.5240  0.01
Al  0.4332  0.8664  0.4547  0.00
Al  0.5668  0.1336  0.9547  0.00

=====

Computed, not measured: TaAlS2 after structural relaxation at the PBE level of DFT.

Output
calculated density: 6.2 g cm⁻³
uncorrected formation energy: -0.663 eV/atom
total energy: -26.501 eV/cell
DOS at the Fermi energy: 0.22 states/eV/atom
space-group type: R-3m (166)

a b c (Å): 8.3276 8.3276 8.3276
angles (deg): 22.38 22.38 22.38
Fractional positions:
S  0.9002  0.9002  0.9002
S  0.0998  0.0998  0.0998
Ta  0.5000  0.5000  0.5000
Al  0.0000  0.0000  0.0000

=====

Computed, not measured: TaAl3S after structural relaxation at the PBE level of DFT.

Output
calculated density: 5.3 g cm⁻³
uncorrected formation energy: 0.644 eV/atom
total energy: -23.989 eV/cell
DOS at the Fermi energy: 0.28 states/eV/atom
space-group type: Pm-3m (221)
energy above the most stable polymorph in this dataset: 0.000 eV per atom

a b c (Å): 4.5282 4.5282 4.5282
angles (deg): 90.00 90.00 90.00
Fractional positions:
Al  0.0000  0.0000  0.5000
Al  0.0000  0.5000  0.0000
Al  0.5000  0.0000  0.0000
Ta  0.5000  0.5000  0.5000
S  0.0000  0.0000  0.0000

=====

Computed, not measured: TaAl2S4 after structural relaxation at the PBE level of DFT.

Output
calculated density: 5.0 g cm⁻³
uncorrected formation energy: -0.796 eV/atom
total energy: -41.416 eV/cell
DOS at the Fermi energy: 0.46 states/eV/atom
space-group type: C2/m (12)

a b c (Å): 3.4622 6.2995 6.6851
angles (deg): 119.20 105.01 90.00
Fractional positions:
S  0.3622  0.6944  0.7244
S  0.1234  0.7912  0.2469
S  0.8766  0.2088  0.7531
S  0.6378  0.3056  0.2756
Al  0.7359  0.7582  0.4717
Al  0.2641  0.2418  0.5283
Ta  0.0000  0.0000  0.0000

=====

Computed, not measured: TaAlS3 after structural relaxation at the PBE level of DFT.

Output
calculated density: 5.5 g cm⁻³
uncorrected formation energy: 0.266 eV/atom
total energy: -26.647 eV/cell
DOS at the Fermi energy: 0.65 states/eV/atom
space-group type: Pm-3m (221)

a b c (Å): 4.5063 4.5063 4.5063
angles (deg): 90.00 90.00 90.00
Last column: magnetic moment on the atom in μB.
Fractional positions:
Ta  0.5000  0.5000  0.5000  1.52
S  0.0000  0.5000  0.0000  -0.12
S  0.5000  0.0000  0.0000  -0.12
S  0.0000  0.0000  0.5000  -0.12
Al  0.0000  0.0000  0.0000  0.01

=====

Computed, not measured: TaAl2S after structural relaxation at the PBE level of DFT.

Output
calculated density: 6.6 g cm⁻³
uncorrected formation energy: 0.163 eV/atom
total energy: -45.630 eV/cell
DOS at the Fermi energy: 0.76 states/eV/atom
space-group type: I-42d (122)

a b c (Å): 7.1570 7.1570 5.6981
angles (deg): 51.10 51.10 90.00
Fractional positions:
Al  0.3750  0.4105  0.7500
Al  0.8750  0.8395  0.7500
Al  0.1605  0.6250  0.2500
Al  0.5895  0.1250  0.2500
S  0.2500  0.7500  0.5000
S  0.5000  0.5000  0.0000
Ta  0.0000  0.0000  0.0000
Ta  0.7500  0.2500  0.5000